Run 1
DFT (PBE) results for an optimized crystal structure of KMgBe.

Summary:
Volume in Å³ per atom: 31.949
Space-group type: P2_1/m, No. 11

Lattice parameters (Å, degrees): 4.255 4.443 10.370 77.96 90.04 90.01
Fractional coordinates of all 6 atoms:
Be1 0.500 0.000 0.000
Be2 0.000 0.000 0.000
K1 0.751 0.843 0.322
K2 0.249 0.157 0.678
Mg1 0.250 0.451 0.100
Mg2 0.750 0.549 0.900

Run 2
DFT (PBE) results for an optimized crystal structure of KMgBe.

Summary:
Volume in Å³ per atom: 27.486
Space-group type: I4mm, No. 107

Lattice parameters (Å, degrees): 6.776 6.779 3.626 74.44 74.44 31.03
Fractional coordinates of all 3 atoms:
Be1 0.057 0.057 0.943
K1 0.339 0.339 0.661
Mg1 0.604 0.604 0.396

run 1 (22.8 kJ/mol of atoms below the next structure)

Run 1
DFT (PBE) results for an optimized crystal structure of KMgBe.

Summary:
Volume in Å³ per atom: 30.151
Space-group type: Cm, No. 8

Lattice parameters (Å, degrees): 13.578 3.965 6.858 90.00 101.49 90.00
Fractional coordinates of all 12 atoms:
Be1 0.127 0.000 0.839
Be2 0.127 0.500 0.339
Be3 0.127 0.000 0.507
Be4 0.127 0.500 0.007
K1 0.470 0.000 0.967
K2 0.470 0.500 0.467
K3 0.784 0.000 0.709
K4 0.784 0.500 0.209
Mg1 0.233 0.000 0.215
Mg2 0.233 0.500 0.715
Mg3 0.020 0.000 0.132
Mg4 0.020 0.500 0.632

Run 2
DFT (PBE) results for an optimized crystal structure of KMgBe.

Summary:
Volume in Å³ per atom: 31.154
Space-group type: F-43m, No. 216

Lattice parameters (Å, degrees): 5.094 5.094 5.094 60.00 60.00 60.00
Fractional coordinates of all 3 atoms:
Be1 0.750 0.750 0.750
K1 0.000 0.000 0.000
Mg1 0.500 0.500 0.500

run 1 (54.5 kJ/mol of atoms below the next structure)

Run 1
DFT (PBE) results for an optimized crystal structure of KMgBe.

Summary:
Volume in Å³ per atom: 37.545
Space-group type: F-43m, No. 216

Lattice parameters (Å, degrees): 5.421 5.421 5.421 60.00 60.00 60.00
Fractional coordinates of all 3 atoms:
Be1 0.500 0.500 0.500
K1 0.750 0.750 0.750
Mg1 0.000 0.000 0.000

Run 2
DFT (PBE) results for an optimized crystal structure of KMgBe.

Summary:
Volume in Å³ per atom: 31.797
Space-group type: P3m1, No. 156

Lattice parameters (Å, degrees): 4.538 4.538 5.348 90.00 90.00 120.00
Fractional coordinates of all 3 atoms:
Be1 0.000 0.000 0.832
K1 0.667 0.333 0.334
Mg1 0.333 0.667 0.834

run 2 (52.0 kJ/mol of atoms below the next structure)

Run 1
DFT (PBE) results for an optimized crystal structure of KMgBe3.

Summary:
Volume in Å³ per atom: 22.843
Space-group type: Pm-3m, No. 221

Lattice parameters (Å, degrees): 4.852 4.852 4.852 90.00 90.00 90.00
Fractional coordinates of all 5 atoms:
Be1 0.000 0.500 0.000
Be2 0.000 0.000 0.500
Be3 0.500 0.000 0.000
K1 0.500 0.500 0.500
Mg1 0.000 0.000 0.000

Run 2
DFT (PBE) results for an optimized crystal structure of KMgBe3.

Summary:
Volume in Å³ per atom: 28.646
Space-group type: Pm-3m, No. 221

Lattice parameters (Å, degrees): 5.232 5.232 5.232 90.00 90.00 90.00
Fractional coordinates of all 5 atoms:
Be1 0.000 0.500 0.000
Be2 0.000 0.000 0.500
Be3 0.500 0.000 0.000
K1 0.000 0.000 0.000
Mg1 0.500 0.500 0.500

run 1 (87.6 kJ/mol of atoms below the next structure)

Run 1
DFT (PBE) results for an optimized crystal structure of KMn3Be.

Summary:
Volume in Å³ per atom: 20.953
Space-group type: Pm-3m, No. 221

Lattice parameters (Å, degrees): 4.714 4.714 4.714 90.00 90.00 90.00
Fractional coordinates of all 5 atoms:
Be1 0.500 0.500 0.500
K1 0.000 0.000 0.000
Mn1 0.000 0.500 0.000
Mn2 0.000 0.000 0.500
Mn3 0.500 0.000 0.000

Run 2
DFT (PBE) results for an optimized crystal structure of KMn3Be.

Summary:
Volume in Å³ per atom: 19.373
Space-group type: Pm-3m, No. 221

Lattice parameters (Å, degrees): 4.593 4.593 4.593 90.00 90.00 90.00
Fractional coordinates of all 5 atoms:
Be1 0.000 0.000 0.000
K1 0.500 0.500 0.500
Mn1 0.000 0.500 0.000
Mn2 0.000 0.000 0.500
Mn3 0.500 0.000 0.000

run 2 (147.3 kJ/mol of atoms below the next structure)

Run 1
DFT (PBE) results for an optimized crystal structure of KMnBe3.

Summary:
Volume in Å³ per atom: 16.037
Space-group type: Pm-3m, No. 221

Lattice parameters (Å, degrees): 4.312 4.312 4.312 90.00 90.00 90.00
Fractional coordinates of all 5 atoms:
Be1 0.000 0.500 0.000
Be2 0.000 0.000 0.500
Be3 0.500 0.000 0.000
K1 0.000 0.000 0.000
Mn1 0.500 0.500 0.500

Run 2
DFT (PBE) results for an optimized crystal structure of KMnBe3.

Summary:
Volume in Å³ per atom: 18.098
Space-group type: Pm-3m, No. 221

Lattice parameters (Å, degrees): 4.490 4.490 4.490 90.00 90.00 90.00
Fractional coordinates of all 5 atoms:
Be1 0.000 0.500 0.000
Be2 0.000 0.000 0.500
Be3 0.500 0.000 0.000
K1 0.500 0.500 0.500
Mn1 0.000 0.000 0.000

run 2 (187.5 kJ/mol of atoms below the next structure)